No. 1
# CsBeGaI4 | Alexandria | PBE | optimized geometry
# Crystal system ... monoclinic
# Space group ... No. 11
# Electronic total energy ... -38.70 eV for the cell shown
data_CsBeGaI4
_chemical_formula_sum 'Cs2 Be2 Ga2 I8'
_symmetry_space_group_name_H-M 'P 1'
_symmetry_Int_Tables_number 1
_cell_length_a 7.548
_cell_length_b 8.059
_cell_length_c 10.332
_cell_angle_alpha 90.00
_cell_angle_beta 109.43
_cell_angle_gamma 90.00
loop_
_symmetry_equiv_pos_as_xyz
'x,y,z'
loop_
_atom_site_label
_atom_site_type_symbol
_atom_site_fract_x
_atom_site_fract_y
_atom_site_fract_z
I1 I 0.004 0.506 0.275
I2 I 0.004 0.994 0.275
Cs1 Cs 0.269 0.250 0.067
I3 I 0.996 0.006 0.725
I4 I 0.996 0.494 0.725
Ga1 Ga 0.767 0.750 0.462
Be1 Be 0.205 0.750 0.318
Ga2 Ga 0.233 0.250 0.538
Cs2 Cs 0.731 0.750 0.933
Be2 Be 0.795 0.250 0.682
I5 I 0.592 0.250 0.445
I6 I 0.390 0.750 0.163
I7 I 0.610 0.250 0.837
I8 I 0.408 0.750 0.555



No. 2
# PmCdRh | Alexandria | PBE | optimized geometry
# Crystal system ... orthorhombic
# ΔH_f (0 K) ... -0.52 eV/atom
# Space group ... No. 71
data_PmCdRh
_chemical_formula_sum 'Pm2 Cd2 Rh2'
_symmetry_space_group_name_H-M 'P 1'
_symmetry_Int_Tables_number 1
_cell_length_a 4.169
_cell_length_b 5.851
_cell_length_c 6.656
_cell_angle_alpha 116.07
_cell_angle_beta 108.25
_cell_angle_gamma 90.00
loop_
_symmetry_equiv_pos_as_xyz
'x,y,z'
loop_
_atom_site_label
_atom_site_type_symbol
_atom_site_fract_x
_atom_site_fract_y
_atom_site_fract_z
Pm1 Pm 0.795 0.295 0.590
Cd1 Cd 0.500 0.751 0.000
Rh1 Rh 0.879 0.879 0.757
Pm2 Pm 0.205 0.705 0.410
Rh2 Rh 0.121 0.121 0.243
Cd2 Cd 0.500 0.249 0.000



No. 3
# LiIn2Au3 | Alexandria | PBE | optimized geometry
# Crystal system ... orthorhombic
# ΔH_f (0 K) ... -0.34 eV/atom
# Space group ... No. 74
data_LiIn2Au3
_chemical_formula_sum 'Li2 In4 Au6'
_symmetry_space_group_name_H-M 'P 1'
_symmetry_Int_Tables_number 1
_cell_length_a 4.707
_cell_length_b 9.155
_cell_length_c 9.155
_cell_angle_alpha 130.84
_cell_angle_beta 104.89
_cell_angle_gamma 104.89
loop_
_symmetry_equiv_pos_as_xyz
'x,y,z'
loop_
_atom_site_label
_atom_site_type_symbol
_atom_site_fract_x
_atom_site_fract_y
_atom_site_fract_z
Li1 Li 0.750 0.588 0.412
Au1 Au 0.000 0.000 0.500
In1 In 0.250 0.704 0.296
Au2 Au 0.506 0.201 0.311
Au3 Au 0.500 0.500 0.000
Li2 Li 0.250 0.412 0.588
Au4 Au 0.494 0.799 0.689
Au5 Au 0.994 0.689 0.799
In2 In 0.750 0.296 0.704
In3 In 0.750 0.899 0.101
In4 In 0.250 0.101 0.899
Au6 Au 0.006 0.311 0.201